Density functional theory data (PBE) for Rb3NaIn2Cl9 after structural relaxation.

Cell lengths 7.5425, 7.5425, 9.2827 Å; angles 90.00, 90.00, 120.00 degrees
Space group P-3m1 (No. 164)
Inequivalent atoms, fractional coordinates:
1 Rb 0.0000 0.0000 0.0000
2 Rb 0.3333 0.6667 0.6562
3 Na 0.0000 0.0000 0.5000
4 In 0.3333 0.6667 0.1702
5 Cl 0.0000 0.5000 0.0000
6 Cl 0.1705 0.3409 0.3252

## Properties
Formation energy without anion corrections ... -146.99 kJ per mole of atoms
Calculated density ... 3.007 g/cm3

---

Density functional theory data (PBE) for Na2Cu2SbS4 after structural relaxation.

Cell lengths 14.4557, 3.7809, 7.1989 Å; angles 90.00, 114.33, 90.00 degrees
Space group C2/m (No. 12)
Inequivalent atoms, fractional coordinates:
1 Na 0.1343 0.0000 0.0521
2 Cu 0.1885 0.5000 0.4889
3 Sb 0.0000 0.0000 0.5000
4 S 0.0165 0.5000 0.2456
5 S 0.2076 0.0000 0.6968

## Properties
Formation energy without anion corrections ... -51.57 kJ per mole of atoms
Calculated density ... 3.919 g/cm3

---

Density functional theory data (PBE) for KCoCl after structural relaxation.

Cell lengths 3.9664, 5.9167, 12.6186 Å; angles 90.00, 90.00, 90.00 degrees
Space group Fmm2 (No. 42)
Inequivalent atoms, fractional coordinates:
1 K 0.0000 0.0000 0.0000
2 Co 0.0000 0.0000 0.2839
3 Cl 0.0000 0.0000 0.6838

## Properties
Formation energy without anion corrections ... 12.43 kJ per mole of atoms
Calculated density ... 2.994 g/cm3
E above lowest polymorph ... 155 meV per atom